The following is a SCAN calculation of Be3AlCd at its PBEsol-relaxed geometry, from the Alexandria database.

Summary:
* ΔE_f: 5.3 eV/f.u.
* symmetry: Pm-3m (221)
* crystal system: cubic
* total moment: 0.000 μB/atom

Lattice parameters (Å, degrees): 4.4056 4.4056 4.4056 90.00 90.00 90.00
Fractional coordinates of all 5 atoms:
Be (0.0000, 0.0000, 0.5000)
Be (0.0000, 0.5000, 0.0000)
Be (0.5000, 0.0000, 0.0000)
Al (0.5000, 0.5000, 0.5000)
Cd (0.0000, 0.0000, 0.0000)